Entry from Alexandria via LeMat-Bulk: a relaxed structure of SrIn3Ge (GGA-PBE).

POSCAR file:
```
SrIn3Ge
1.0
4.2672 0.0000 0.0000
0.0000 10.4176 0.0000
0.0000 0.0000 12.8414
Ge In Sr
4 12 4
direct
0.7500 0.3483 0.1497
0.7500 0.8483 0.3503
0.2500 0.1517 0.6497
0.2500 0.6517 0.8503
0.2500 0.4448 0.6988
0.7500 0.4577 0.9083
0.2500 0.9448 0.8012
0.2500 0.0423 0.4083
0.7500 0.5552 0.3012
0.7500 0.0552 0.1988
0.7500 0.6956 0.7055
0.2500 0.5423 0.0917
0.7500 0.9577 0.5917
0.7500 0.1956 0.7945
0.2500 0.3044 0.2945
0.2500 0.8044 0.2055
0.7500 0.3096 0.5095
0.2500 0.1904 0.0095
0.7500 0.8096 0.9905
0.2500 0.6904 0.4905
```

total magnetization = 0.00 μB/atom
ΔH_f (0 K) = -0.20 eV/atom
DOS(E_F) = 6.34 states/eV per cell
theoretical density = 5.87 g/cm3
symmetry = Pnma (62)


Entry from Alexandria via LeMat-Bulk: a relaxed structure of MnZn12Ag3 (GGA-PBE).

POSCAR file:
```
MnZn12Ag3
1.0
3.9290 0.0000 0.0000
0.0000 3.9290 0.0000
0.0000 0.0000 15.7026
Zn Ag Mn
12 3 1
direct
0.5000 0.0000 0.8837
0.0000 0.5000 0.1163
0.5000 0.5000 0.2479
0.0000 0.5000 0.6283
0.5000 0.0000 0.3717
0.5000 0.5000 0.7521
0.0000 0.5000 0.3717
0.5000 0.5000 0.0000
0.5000 0.5000 0.5000
0.5000 0.0000 0.6283
0.5000 0.0000 0.1163
0.0000 0.5000 0.8837
0.0000 0.0000 0.7574
0.0000 0.0000 0.2426
0.0000 0.0000 0.5000
0.0000 0.0000 0.0000
```

total magnetization = 0.17 μB/atom
ΔH_f (0 K) = 0.00 eV/atom
DOS(E_F) = 5.77 states/eV per cell
theoretical density = 7.97 g/cm3
symmetry = P4/mmm (123)


Entry from Alexandria via LeMat-Bulk: a relaxed structure of BiPdPb2 (GGA-PBE).

POSCAR file:
```
BiPdPb2
1.0
-4.9164 0.6861 -2.7481
-2.9282 -4.7940 4.0418
1.7049 4.8684 4.0229
Bi Pb Pd
2 4 2
direct
0.5019 0.7500 0.0000
0.4981 0.2500 0.0000
0.7990 0.3993 0.5985
0.2006 0.1007 0.4015
0.7994 0.8993 0.5985
0.2010 0.6007 0.4015
0.0019 0.7500 0.0000
0.9981 0.2500 0.0000
```

total magnetization = 0.00 μB/atom
ΔH_f (0 K) = -0.03 eV/atom
DOS(E_F) = 4.61 states/eV per cell
theoretical density = 10.96 g/cm3
symmetry = C2/c (15)


Entry from Alexandria via LeMat-Bulk: a relaxed structure of BaAgTe (GGA-PBE).

POSCAR file:
```
BaAgTe
1.0
4.9665 0.0000 0.0000
-2.4832 4.3011 0.0000
0.0000 0.0000 4.6701
Ba Ag Te
1 1 1
direct
0.6667 0.3333 0.3331
0.0000 0.0000 0.8337
0.3333 0.6667 0.8332
```

raw formation energy = -0.8004 eV per atom
total magnetization = 0.21 μB/atom
DOS(E_F) = 1.79 states/eV per cell
theoretical density = 6.21 g/cm3
symmetry = P-6m2 (187)


Entry from Alexandria via LeMat-Bulk: a relaxed structure of KTbI4 (GGA-PBE).

POSCAR file:
```
KTbI4
1.0
-4.0160 0.2959 2.1212
2.5587 -7.4591 0.9935
3.8896 4.1172 6.7883
I K Tb
4 1 1
direct
0.6174 0.2342 0.9049
0.3826 0.7657 0.0949
0.1191 0.2376 0.3176
0.8808 0.7624 0.6825
0.4999 0.0000 0.5000
0.0001 0.0000 0.0001
```

raw formation energy = -1.4138 eV per atom
total magnetization = 0.00 μB/atom
DOS(E_F) = 0.00 states/eV per cell
theoretical density = 3.91 g/cm3
symmetry = C2/m (12)


Entry from Alexandria via LeMat-Bulk: a relaxed structure of KZnPb2 (GGA-PBE).

POSCAR file:
```
KZnPb2
1.0
-1.7230 3.2157 -0.1622
-0.8029 -0.6440 -4.2389
-6.8849 -3.5956 1.8504
Pb K Zn
2 1 1
direct
0.0000 0.0000 0.0506
0.5000 0.5000 0.2717
0.5000 0.5000 0.7320
0.0000 0.0000 0.4457
```

total magnetization = 0.00 μB/atom
ΔH_f (0 K) = 0.02 eV/atom
DOS(E_F) = 1.72 states/eV per cell
theoretical density = 6.77 g/cm3
symmetry = Pmm2 (25)